DFT (PBE) results for a relaxed Li3PdPb crystal.

Cell lengths 4.936, 4.682, 7.768 Å; angles 90.00, 105.13, 90.00 degrees
Sites, in units of the cell vectors:
Li  0.051  0.250  0.412
Li  0.220  0.750  0.024
Li  0.436  0.250  0.232
Li  0.564  0.750  0.768
Li  0.780  0.250  0.976
Li  0.949  0.750  0.588
Pd  0.375  0.750  0.399
Pd  0.625  0.250  0.601
Pb  0.197  0.250  0.788
Pb  0.803  0.750  0.212

Size of the total moment, μB per cell: 0.00
ΔE to the lowest computed polymorph, meV per atom: 0
Raw total energy, eV/atom: -3.285
Energy of formation, eV per atom: -0.3566
SG: P2_1/m